Entry 1:
VASP calculation (PBE-GGA) on a relaxed structure of BaAu2F8.

a b c (Å): 7.3060 7.3060 7.3060
angles (deg): 131.37 131.37 71.23
Last column: nearest neighbours and their distance in Å.
Sites, in units of the cell vectors:
1 Ba 0.0000 0.0000 0.0000  8 F 2.72
2 Au 0.2500 0.7500 0.5000  4 F 1.97
3 Au 0.7500 0.2500 0.5000  4 F 1.97
4 F 0.0265 0.5349 0.8280  1 Au 1.97
5 F 0.1985 0.0265 0.4916  1 Au 1.97
6 F 0.2931 0.4651 0.4916  1 Au 1.97
7 F 0.4651 0.9735 0.1720  1 Au 1.97
8 F 0.5349 0.7069 0.5084  1 Au 1.97
9 F 0.7069 0.1985 0.1720  1 Au 1.97
10 F 0.8015 0.2931 0.8280  1 Au 1.97
11 F 0.9735 0.8015 0.5084  1 Au 1.97

Summary:
Symmetry: I422
Formation energy (no corrections): -1.888 eV per atom

***

Entry 2:
VASP calculation (PBE-GGA) on a relaxed structure of ErPuCu2Ge2.

a b c (Å): 4.2328 4.2328 7.4636
angles (deg): 90.00 90.00 120.00
Last column: nearest neighbours and their distance in Å.
Sites, in units of the cell vectors:
1 Er 0.0000 0.0000 0.0000  6 Cu 3.00, 6 Ge 3.07
2 Pu 0.0000 0.0000 0.5000  6 Ge 3.08, 6 Cu 3.15
3 Cu 0.3333 0.6667 0.2328  3 Ge 2.45
4 Cu 0.6667 0.3333 0.7672  3 Ge 2.45
5 Ge 0.3333 0.6667 0.7508  3 Cu 2.45
6 Ge 0.6667 0.3333 0.2492  3 Cu 2.45

Summary:
Symmetry: P-3m1

***

Entry 3:
VASP calculation (PBE-GGA) on a relaxed structure of Pm2Nd4ErMg.

a b c (Å): 5.0832 5.0832 10.1640
angles (deg): 90.00 90.00 90.00
Last column: nearest neighbours and their distance in Å.
Sites, in units of the cell vectors:
1 Pm 0.0000 0.0000 0.0000  8 Nd 3.58, 4 Mg 3.59
2 Pm 0.5000 0.5000 0.5000  4 Er 3.59, 8 Nd 3.61
3 Nd 0.0000 0.5000 0.2479  2 Mg 3.58, 4 Pm 3.58-3.61, 4 Nd 3.59, 2 Er 3.61
4 Nd 0.0000 0.5000 0.7521  2 Mg 3.58, 4 Pm 3.58-3.61, 4 Nd 3.59, 2 Er 3.61
5 Nd 0.5000 0.0000 0.2479  2 Mg 3.58, 4 Pm 3.58-3.61, 4 Nd 3.59, 2 Er 3.61
6 Nd 0.5000 0.0000 0.7521  2 Mg 3.58, 4 Pm 3.58-3.61, 4 Nd 3.59, 2 Er 3.61
7 Er 0.0000 0.0000 0.5000  4 Pm 3.59, 8 Nd 3.61
8 Mg 0.5000 0.5000 0.0000  8 Nd 3.58, 4 Pm 3.59

Summary:
Symmetry: P4/mmm

***

Entry 4:
VASP calculation (PBE-GGA) on a relaxed structure of PrDyTlZn.

a b c (Å): 5.3383 5.3383 5.3383
angles (deg): 60.00 60.00 60.00
Last column: nearest neighbours and their distance in Å.
Sites, in units of the cell vectors:
1 Pr 0.0000 0.0000 0.0000  4 Tl 3.27, 4 Zn 3.27
2 Dy 0.5000 0.5000 0.5000  4 Zn 3.27, 4 Tl 3.27
3 Tl 0.2500 0.2500 0.2500  4 Dy 3.27, 4 Pr 3.27
4 Zn 0.7500 0.7500 0.7500  4 Pr 3.27, 4 Dy 3.27

Summary:
Symmetry: F-43m
Relative energy among the computed polymorphs: 30.3 meV per atom

***

Entry 5:
VASP calculation (PBE-GGA) on a relaxed structure of HoInRuAu.

a b c (Å): 4.8016 4.8016 4.8016
angles (deg): 60.00 60.00 60.00
Last column: nearest neighbours and their distance in Å.
Sites, in units of the cell vectors:
1 Ho 0.0000 0.0000 0.0000  4 Ru 2.94, 4 Au 2.94
2 In 0.5000 0.5000 0.5000  4 Ru 2.94, 4 Au 2.94
3 Ru 0.2500 0.2500 0.2500  4 In 2.94, 4 Ho 2.94
4 Au 0.7500 0.7500 0.7500  4 In 2.94, 4 Ho 2.94

Summary:
Symmetry: F-43m

***

Entry 6:
VASP calculation (PBE-GGA) on a relaxed structure of BaAlGa2Ag4.

a b c (Å): 10.1649 10.1649 10.1649
angles (deg): 25.90 25.90 25.90
Last column: nearest neighbours and their distance in Å.
Sites, in units of the cell vectors:
1 Ba 0.0000 0.0000 0.0000  6 Ag 3.51, 6 Ga 3.69
2 Al 0.5000 0.5000 0.5000  8 Ag 2.59-2.75
3 Ga 0.2453 0.2453 0.2453  3 Ag 2.65
4 Ga 0.7547 0.7547 0.7547  3 Ag 2.65
5 Ag 0.1396 0.1396 0.1396  3 Al 2.75, 3 Ga 3.04, 3 Ag 3.08
6 Ag 0.4120 0.4120 0.4120  1 Al 2.59, 3 Ga 2.65
7 Ag 0.5880 0.5880 0.5880  1 Al 2.59, 3 Ga 2.65
8 Ag 0.8604 0.8604 0.8604  3 Al 2.75, 3 Ga 3.04, 3 Ag 3.08

Summary:
Symmetry: R-3m

***

| no. | DFT total energy (eV/atom) |
| --- | --- |
| 1 | -4.020 |
| 2 | -6.556 |
| 3 | -4.334 |
| 4 | -3.575 |
| 5 | -5.303 |
| 6 | -3.030 |